[1]
# meta-GGA SCAN Sr4CaSb, single point on PBEsol structure
# - total magnetization (μB per atom) = 0.2230
# - formation energy without anion corrections (eV/atom) = 0.200
# - SG = No. 216
# - crystal system = cubic
data_Sr4CaSb
_chemical_formula_sum 'Sr4 Ca1 Sb1'
_cell_length_a 7.138
_cell_length_b 7.138
_cell_length_c 7.138
_cell_angle_alpha 60.00
_cell_angle_beta 60.00
_cell_angle_gamma 60.00
_symmetry_space_group_name_H-M 'P 1'
_symmetry_Int_Tables_number 1
loop_
_symmetry_equiv_pos_as_xyz
'x,y,z'
loop_
_atom_site_label
_atom_site_type_symbol
_atom_site_fract_x
_atom_site_fract_y
_atom_site_fract_z
_atom_site_occupancy
Sr1 Sr 0.376 0.376 0.376 1
Sr2 Sr 0.376 0.376 0.872 1
Sr3 Sr 0.376 0.872 0.376 1
Sr4 Sr 0.872 0.376 0.376 1
Ca1 Ca 0.000 0.000 0.000 1
Sb1 Sb 0.750 0.750 0.750 1



[2]
# meta-GGA SCAN SrCaSb, single point on PBEsol structure
# - total magnetization (μB per atom) = 0.0000
# - formation energy without anion corrections (eV/atom) = -0.232
# - SG = No. 216
# - crystal system = cubic
data_SrCaSb
_chemical_formula_sum 'Sr1 Ca1 Sb1'
_cell_length_a 5.397
_cell_length_b 5.397
_cell_length_c 5.397
_cell_angle_alpha 60.00
_cell_angle_beta 60.00
_cell_angle_gamma 60.00
_symmetry_space_group_name_H-M 'P 1'
_symmetry_Int_Tables_number 1
loop_
_symmetry_equiv_pos_as_xyz
'x,y,z'
loop_
_atom_site_label
_atom_site_type_symbol
_atom_site_fract_x
_atom_site_fract_y
_atom_site_fract_z
_atom_site_occupancy
Sr1 Sr 0.000 0.000 0.000 1
Ca1 Ca 0.750 0.750 0.750 1
Sb1 Sb 0.250 0.250 0.250 1



[3]
# meta-GGA SCAN Sr2CaSb2, single point on PBEsol structure
# - total magnetization (μB per atom) = 0.0000
# - formation energy without anion corrections (eV/atom) = -0.643
# - SG = No. 139
# - crystal system = tetragonal
data_Sr2CaSb2
_chemical_formula_sum 'Sr2 Ca1 Sb2'
_cell_length_a 7.926
_cell_length_b 7.926
_cell_length_c 7.926
_cell_angle_alpha 142.96
_cell_angle_beta 142.96
_cell_angle_gamma 53.39
_symmetry_space_group_name_H-M 'P 1'
_symmetry_Int_Tables_number 1
loop_
_symmetry_equiv_pos_as_xyz
'x,y,z'
loop_
_atom_site_label
_atom_site_type_symbol
_atom_site_fract_x
_atom_site_fract_y
_atom_site_fract_z
_atom_site_occupancy
Sr1 Sr 0.250 0.750 0.500 1
Sr2 Sr 0.750 0.250 0.500 1
Ca1 Ca 0.000 0.000 0.000 1
Sb1 Sb 0.394 0.394 0.000 1
Sb2 Sb 0.606 0.606 0.000 1



[4]
# meta-GGA SCAN CaTa2Sb, single point on PBEsol structure
# - total magnetization (μB per atom) = 0.0000
# - formation energy without anion corrections (eV/atom) = 0.367
# - SG = No. 12
# - crystal system = monoclinic
data_CaTa2Sb
_chemical_formula_sum 'Ca1 Ta2 Sb1'
_cell_length_a 5.541
_cell_length_b 5.541
_cell_length_c 5.187
_cell_angle_alpha 101.09
_cell_angle_beta 101.09
_cell_angle_gamma 32.24
_symmetry_space_group_name_H-M 'P 1'
_symmetry_Int_Tables_number 1
loop_
_symmetry_equiv_pos_as_xyz
'x,y,z'
loop_
_atom_site_label
_atom_site_type_symbol
_atom_site_fract_x
_atom_site_fract_y
_atom_site_fract_z
_atom_site_occupancy
Ca1 Ca 0.000 0.000 0.000 1
Ta1 Ta 0.235 0.235 0.730 1
Ta2 Ta 0.765 0.765 0.270 1
Sb1 Sb 0.500 0.500 0.500 1



[5]
# meta-GGA SCAN CaTa2Sb, single point on PBEsol structure
# - total magnetization (μB per atom) = 0.0000
# - formation energy without anion corrections (eV/atom) = 0.361
# - SG = No. 10
# - crystal system = monoclinic
data_CaTa2Sb
_chemical_formula_sum 'Ca1 Ta2 Sb1'
_cell_length_a 3.045
_cell_length_b 5.292
_cell_length_c 5.259
_cell_angle_alpha 90.00
_cell_angle_beta 91.38
_cell_angle_gamma 90.00
_symmetry_space_group_name_H-M 'P 1'
_symmetry_Int_Tables_number 1
loop_
_symmetry_equiv_pos_as_xyz
'x,y,z'
loop_
_atom_site_label
_atom_site_type_symbol
_atom_site_fract_x
_atom_site_fract_y
_atom_site_fract_z
_atom_site_occupancy
Ca1 Ca 0.000 0.000 0.000 1
Ta1 Ta 0.371 0.500 0.757 1
Ta2 Ta 0.629 0.500 0.243 1
Sb1 Sb 0.500 0.000 0.500 1



[6]
# meta-GGA SCAN CaTa2Sb, single point on PBEsol structure
# - total magnetization (μB per atom) = 0.0001
# - formation energy without anion corrections (eV/atom) = 0.054
# - SG = No. 99
# - crystal system = tetragonal
data_CaTa2Sb
_chemical_formula_sum 'Ca1 Ta2 Sb1'
_cell_length_a 3.511
_cell_length_b 3.511
_cell_length_c 7.174
_cell_angle_alpha 90.00
_cell_angle_beta 90.00
_cell_angle_gamma 90.00
_symmetry_space_group_name_H-M 'P 1'
_symmetry_Int_Tables_number 1
loop_
_symmetry_equiv_pos_as_xyz
'x,y,z'
loop_
_atom_site_label
_atom_site_type_symbol
_atom_site_fract_x
_atom_site_fract_y
_atom_site_fract_z
_atom_site_occupancy
Ca1 Ca 0.000 0.000 0.000 1
Ta1 Ta 0.000 0.000 0.475 1
Ta2 Ta 0.500 0.500 0.302 1
Sb1 Sb 0.500 0.500 0.704 1



[7]
# meta-GGA SCAN Ca3TaSb, single point on PBEsol structure
# - total magnetization (μB per atom) = 1.1839
# - formation energy without anion corrections (eV/atom) = 0.665
# - SG = No. 221
# - crystal system = cubic
data_Ca3TaSb
_chemical_formula_sum 'Ca3 Ta1 Sb1'
_cell_length_a 5.755
_cell_length_b 5.755
_cell_length_c 5.755
_cell_angle_alpha 90.00
_cell_angle_beta 90.00
_cell_angle_gamma 90.00
_symmetry_space_group_name_H-M 'P 1'
_symmetry_Int_Tables_number 1
loop_
_symmetry_equiv_pos_as_xyz
'x,y,z'
loop_
_atom_site_label
_atom_site_type_symbol
_atom_site_fract_x
_atom_site_fract_y
_atom_site_fract_z
_atom_site_occupancy
Ca1 Ca 0.000 0.000 0.500 1
Ca2 Ca 0.000 0.500 0.000 1
Ca3 Ca 0.500 0.000 0.000 1
Ta1 Ta 0.500 0.500 0.500 1
Sb1 Sb 0.000 0.000 0.000 1



[8]
# meta-GGA SCAN Ca3TcSb, single point on PBEsol structure
# - total magnetization (μB per atom) = 0.0003
# - formation energy without anion corrections (eV/atom) = 0.361
# - SG = No. 221
# - crystal system = cubic
data_Ca3TcSb
_chemical_formula_sum 'Ca3 Tc1 Sb1'
_cell_length_a 5.194
_cell_length_b 5.194
_cell_length_c 5.194
_cell_angle_alpha 90.00
_cell_angle_beta 90.00
_cell_angle_gamma 90.00
_symmetry_space_group_name_H-M 'P 1'
_symmetry_Int_Tables_number 1
loop_
_symmetry_equiv_pos_as_xyz
'x,y,z'
loop_
_atom_site_label
_atom_site_type_symbol
_atom_site_fract_x
_atom_site_fract_y
_atom_site_fract_z
_atom_site_occupancy
Ca1 Ca 0.000 0.000 0.500 1
Ca2 Ca 0.000 0.500 0.000 1
Ca3 Ca 0.500 0.000 0.000 1
Tc1 Tc 0.000 0.000 0.000 1
Sb1 Sb 0.500 0.500 0.500 1